VASP calculation (GGA+U) on NbCrSO2 after structural relaxation.

Unit cell a=3.9226 b=3.9226 c=5.1778 alpha=90.00 beta=90.00 gamma=90.00
Space group P4/mmm (No. 123)
One atom of each set of equivalent atoms:
Nb 0.0000 0.0000 0.0000
Cr 0.5000 0.5000 0.5000
S 0.0000 0.0000 0.5000
O 0.0000 0.5000 0.0000

Output
- E_tot: -38.96 eV per formula unit
- Magnetic moment: 4.75 μB/f.u.
- Theoretical density: 4.36 g cm⁻³
- Crystal system: tetragonal